No. 1
Below is a relaxed Li6Tl5Ag crystal, with properties calculated at the GGA-PBE level.

Lattice parameters (Å, degrees): 4.826 6.793 8.422 113.78 106.65 90.00
Fractional coordinates of all 12 atoms:
Li1 0.163 0.407 0.326
Li2 0.500 0.757 0.000
Li3 0.837 0.593 0.674
Li4 0.837 0.082 0.674
Li5 0.163 0.918 0.326
Li6 0.500 0.243 0.000
Tl1 0.661 0.161 0.323
Tl2 0.000 0.500 0.000
Tl3 0.332 0.332 0.664
Tl4 0.339 0.839 0.677
Tl5 0.668 0.668 0.336
Ag1 0.000 0.000 0.000

N(E_F)   3.5 states/eV/f.u.
Volume   20.00 Å³/atom
Spin magnetization   0.00 μB per formula unit
SG   Immm, No. 71
Energy of formation   -0.2224 eV per atom

No. 2
Below is a relaxed Li12TlAg6 crystal, with properties calculated at the GGA-PBE level.

Lattice parameters (Å, degrees): 7.093 7.604 7.604 69.21 71.88 108.12
Fractional coordinates of all 19 atoms:
Li1 0.116 0.373 0.060
Li2 0.677 0.883 0.840
Li3 0.884 0.627 0.940
Li4 0.206 0.723 0.117
Li5 0.517 0.840 0.277
Li6 0.483 0.160 0.723
Li7 0.824 0.940 0.433
Li8 0.257 0.433 0.627
Li9 0.743 0.567 0.373
Li10 0.323 0.117 0.160
Li11 0.794 0.277 0.883
Li12 0.176 0.060 0.567
Ag1 0.566 0.520 0.787
Ag2 0.955 0.308 0.480
Ag3 0.045 0.692 0.520
Ag4 0.434 0.480 0.213
Ag5 0.353 0.787 0.692
Ag6 0.647 0.213 0.308
Tl1 0.000 0.000 0.000

N(E_F)   7.8 states/eV/f.u.
Energy above the lowest structure with this stoichiometry   0.0 meV per atom
Volume   16.89 Å³/atom
Spin magnetization   0.00 μB per formula unit
SG   R-3, No. 148
Energy of formation   -0.1881 eV per atom